First-principles (PBE) data for a relaxed structure of Ca2Al3Co, as listed in the Alexandria database.

Cell lengths 5.4321, 5.4321, 5.4339 Å; angles 118.53, 118.53, 61.61 degrees
Sites, in units of the cell vectors:
Ca1 0.1268 0.1268 0.3736
Ca2 0.8732 0.8732 0.6264
Al1 0.0000 0.5000 0.0000
Al2 0.5000 0.0000 0.0000
Al3 0.5000 0.5000 0.5000
Co1 0.5000 0.5000 0.0000

Calculated values
- formation energy (kcal/mol of atoms) = -5.7
- space group = C2/m, No. 12
- volume (Å³ per atom) = 19.54

First-principles (PBE) data for a relaxed structure of Pr2TmZn9, as listed in the Alexandria database.

Cell lengths 9.3132, 9.3132, 9.3132 Å; angles 34.32, 34.32, 34.32 degrees
Sites, in units of the cell vectors:
Pr1 0.1401 0.1401 0.1401
Pr2 0.8599 0.8599 0.8599
Tm1 0.0000 0.0000 0.0000
Zn1 0.0762 0.5813 0.5813
Zn2 0.3346 0.3346 0.3346
Zn3 0.4187 0.4187 0.9238
Zn4 0.4187 0.9238 0.4187
Zn5 0.5000 0.5000 0.5000
Zn6 0.5813 0.0762 0.5813
Zn7 0.5813 0.5813 0.0762
Zn8 0.6654 0.6654 0.6654
Zn9 0.9238 0.4187 0.4187

Calculated values
- formation energy (kcal/mol of atoms) = -6.3
- space group = R-3m, No. 166
- volume (Å³ per atom) = 19.08

First-principles (PBE) data for a relaxed structure of TcHg2Ru, as listed in the Alexandria database.

Cell lengths 2.8846, 2.8846, 10.2262 Å; angles 90.00, 90.00, 119.64 degrees
Sites, in units of the cell vectors:
Tc1 0.0000 0.0000 0.0000
Hg1 0.0000 0.0000 0.5492
Hg2 0.5000 0.5000 0.2543
Ru1 0.5000 0.5000 0.7998

Calculated values
- formation energy (kcal/mol of atoms) = 12.4
- space group = Cmm2, No. 35
- excess energy over the best structure of this formula in the dataset (eV per atom) = 0.282
- volume (Å³ per atom) = 18.49

First-principles (PBE) data for a relaxed structure of Ca16Mg12Al, as listed in the Alexandria database.

Cell lengths 10.5284, 10.5284, 10.6636 Å; angles 108.98, 108.98, 108.35 degrees
Sites, in units of the cell vectors:
Ca1 0.0000 0.0000 0.0000
Ca2 0.0023 0.4102 0.0233
Ca3 0.0069 0.6521 0.3482
Ca4 0.0086 0.6975 0.7484
Ca5 0.0119 0.0119 0.3521
Ca6 0.2980 0.5996 0.9417
Ca7 0.3024 0.3024 0.0378
Ca8 0.3375 0.7199 0.6557
Ca9 0.3849 0.3849 0.6635
Ca10 0.4102 0.0023 0.0233
Ca11 0.4356 0.6692 0.3625
Ca12 0.5996 0.2980 0.9417
Ca13 0.6521 0.0069 0.3482
Ca14 0.6692 0.4356 0.3625
Ca15 0.6975 0.0086 0.7484
Ca16 0.7199 0.3375 0.6557
Mg1 0.0019 0.3772 0.5177
Mg2 0.0084 0.1971 0.6994
Mg3 0.1667 0.3543 0.3212
Mg4 0.1886 0.8135 0.1615
Mg5 0.1971 0.0084 0.6994
Mg6 0.3543 0.1667 0.3212
Mg7 0.3772 0.0019 0.5177
Mg8 0.6461 0.8259 0.9773
Mg9 0.6523 0.6523 0.1721
Mg10 0.8135 0.1886 0.1615
Mg11 0.8259 0.6461 0.9773
Mg12 0.8362 0.8362 0.5392
Al1 0.6699 0.6699 0.6848

Calculated values
- formation energy (kcal/mol of atoms) = -1.0
- space group = Cm, No. 8
- volume (Å³ per atom) = 32.16

First-principles (PBE) data for a relaxed structure of Tb4Ga2H, as listed in the Alexandria database.

Cell lengths 8.6394, 8.6394, 8.6394 Å; angles 149.79, 149.79, 43.25 degrees
Sites, in units of the cell vectors:
Tb1 0.0000 0.5000 0.5000
Tb2 0.1809 0.1809 0.0000
Tb3 0.5000 0.0000 0.5000
Tb4 0.8191 0.8191 0.0000
Ga1 0.3667 0.3667 0.0000
Ga2 0.6333 0.6333 0.0000
H1 0.0000 0.0000 0.0000

Calculated values
- space group = I4/mmm, No. 139
- excess energy over the best structure of this formula in the dataset (eV per atom) = 0.049
- volume (Å³ per atom) = 23.26

First-principles (PBE) data for a relaxed structure of ScSbS2N, as listed in the Alexandria database.

Cell lengths 5.0188, 5.0188, 4.0647 Å; angles 90.00, 90.00, 90.00 degrees
Sites, in units of the cell vectors:
Sc1 0.0000 0.0000 0.0000
Sb1 0.5000 0.5000 0.5000
S1 0.0000 0.5000 0.0000
S2 0.5000 0.0000 0.0000
N1 0.0000 0.0000 0.5000

Calculated values
- space group = P4/mmm, No. 123
- formation energy without anion corrections (eV per atom) = -0.020
- excess energy over the best structure of this formula in the dataset (eV per atom) = 0.000
- volume (Å³ per atom) = 20.48

First-principles (PBE) data for a relaxed structure of KFeNiC6N6, as listed in the Alexandria database.

Cell lengths 7.2171, 7.2171, 7.2171 Å; angles 60.00, 60.00, 60.00 degrees
Sites, in units of the cell vectors:
K1 0.0000 0.0000 0.0000
Fe1 0.7500 0.7500 0.7500
Ni1 0.2500 0.2500 0.2500
C1 0.5641 0.5641 0.9360
C2 0.5641 0.9360 0.5641
C3 0.5641 0.9360 0.9360
C4 0.9360 0.5641 0.5641
C5 0.9360 0.5641 0.9360
C6 0.9360 0.9360 0.5641
N1 0.0509 0.0509 0.4491
N2 0.0509 0.4491 0.0509
N3 0.0509 0.4491 0.4491
N4 0.4491 0.0509 0.0509
N5 0.4491 0.0509 0.4491
N6 0.4491 0.4491 0.0509

Calculated values
- space group = F-43m, No. 216
- formation energy without anion corrections (eV per atom) = 0.205
- volume (Å³ per atom) = 17.72

First-principles (PBE) data for a relaxed structure of ZnCo2Pt, as listed in the Alexandria database.

Cell lengths 4.5911, 4.5911, 2.6494 Å; angles 90.10, 90.10, 111.90 degrees
Sites, in units of the cell vectors:
Zn1 0.0000 0.0000 0.0000
Co1 0.0000 0.5000 0.5000
Co2 0.5000 0.0000 0.5000
Pt1 0.5000 0.5000 0.0000

Calculated values
- formation energy (kcal/mol of atoms) = -1.0
- space group = C2/m, No. 12
- volume (Å³ per atom) = 12.95